1.
The following is a PBE calculation of ThTl2Bi2O6 after structural relaxation, from Alexandria via LeMat-Bulk.

E: -6.180 eV per atom
ΔE_f (raw): -38.388 kcal/mol of atoms
DOS at the Fermi energy: 0.000 states/eV/atom

abc: 10.5155 6.4027 8.1860
angles: 90.00 101.07 90.00
Last column: nearest neighbours and their distance in Å.
Space group C2/m (No. 12)
Unique sites:
Th: 0.0000 0.0000 0.0000 (multiplicity 2)  6 O 2.32-2.34
Tl: 0.2039 0.5000 0.2181 (multiplicity 4)  3 O 2.58-2.63
Bi: 0.1174 0.5000 0.7280 (multiplicity 4)  3 O 2.10
O: 0.0043 0.2651 0.8087 (multiplicity 8)  1 Bi 2.10, 1 Th 2.32
O: 0.2269 0.0000 0.0679 (multiplicity 4)  1 Bi 2.10, 1 Th 2.34

2.
The following is a PBE calculation of Ti6Bi4O19 after structural relaxation, from Alexandria via LeMat-Bulk.

E: -7.598 eV per atom
ΔE_f (raw): -50.281 kcal/mol of atoms
DOS at the Fermi energy: 0.687 states/eV/atom

abc: 9.1506 9.1506 9.1506
angles: 90.00 90.00 90.00
Last column: nearest neighbours and their distance in Å.
Space group I23 (No. 197)
Unique sites:
Ti: 0.0000 0.1599 0.5000 (multiplicity 12)  6 O 1.95-1.98
Bi: 0.1529 0.1529 0.1529 (multiplicity 8)  4 O 2.28-2.42
O: 0.0000 0.0000 0.0000 (multiplicity 2)  4 Bi 2.42
O: 0.0000 0.0000 0.3584 (multiplicity 12)  2 Ti 1.95
O: 0.0372 0.2867 0.3283 (multiplicity 24)  2 Ti 1.98

3.
The following is a PBE calculation of TiBi2O after structural relaxation, from Alexandria via LeMat-Bulk.

E: -5.108 eV per atom
ΔE_f (raw): 1.062 kcal/mol of atoms
DOS at the Fermi energy: 1.119 states/eV/atom

abc: 7.0391 7.0391 7.1537
angles: 90.00 90.00 90.00
Last column: nearest neighbours and their distance in Å.
Space group I-42d (No. 122)
Unique sites:
Ti: 0.0000 0.0000 0.0000 (multiplicity 4)  4 Bi 3.00
Bi: 0.1793 0.2500 0.6250 (multiplicity 8)  2 O 2.34
O: 0.0000 0.0000 0.5000 (multiplicity 4)  4 Bi 2.34

4.
The following is a PBE calculation of TiBiO3 after structural relaxation, from Alexandria via LeMat-Bulk.

E: -7.406 eV per atom
ΔE_f (raw): -47.867 kcal/mol of atoms
DOS at the Fermi energy: 0.310 states/eV/atom

abc: 14.2751 3.0539 6.8563
angles: 90.00 90.43 90.00
Last column: nearest neighbours and their distance in Å.
Space group C2/m (No. 12)
Unique sites:
Ti: 0.1107 0.0000 0.1688 (multiplicity 4)  1 O 1.74
Bi: 0.1247 0.5000 0.6504 (multiplicity 4)  3 O 2.27-2.41
O: 0.0429 0.5000 0.3047 (multiplicity 4)  2 Ti 2.04
O: 0.1231 0.5000 0.9820 (multiplicity 4)  2 Ti 2.00
O: 0.2116 0.0000 0.3117 (multiplicity 4)  1 Ti 1.74